Entry from the Alexandria database: a relaxed structure of BaAgHg2 (PBE).

a b c (Å): 4.1132 5.0526 6.0820
angles (deg): 90.00 90.16 90.00
Last column: nearest neighbours and their distance in Å.
Fractional coordinates of all 4 atoms:
Ba: 0.0000 0.0000 0.0000  8 Hg 3.61-3.62, 4 Ag 3.67-3.68
Ag: 0.5000 0.0000 0.5000  4 Hg 2.92
Hg: 0.4983 0.5000 0.7421  2 Ag 2.92, 2 Hg 2.95-3.14
Hg: 0.5017 0.5000 0.2579  2 Ag 2.92, 2 Hg 2.95-3.14

Output
Formation energy from the elements   -0.27 eV per atom
Total moment   0.00 μB per formula unit
Space group   P2/m